# SrLa2Tl2

A relaxed structure of SrLa2Tl2 (PBE, Alexandria via LeMat-Bulk).

Summary:
Formation enthalpy at 0 K: -0.204 eV per atom
Electronic total energy: -3.458 eV per atom
Total magnetization: 0.0 μB/f.u.

```
10
Lattice="-2.6521 -0.6579 -6.2616 -4.9348 -5.4902 -0.9022 -8.3359 2.8901 -0.5797" Properties=species:S:1:pos:R:3 pbc="T T T"
Tl -8.0648 -0.6735 -5.1329
Tl -7.8580 -2.5844 -2.6106
Tl -5.7199 -4.8231 -2.8684
Tl -10.2029 1.5651 -4.8751
La -5.1074 -2.1553 -4.9068
La -3.9534 -0.2821 -1.8434
La -11.9694 -2.9759 -5.9001
La -10.8154 -1.1027 -2.8367
Sr -7.6383 0.7017 -1.6463
Sr -8.2846 -3.9597 -6.0972
```